VASP calculation (GGA-PBE) on an optimized crystal structure of BeCu2Se.

Lattice parameters (Å, degrees): 2.7567 2.7567 7.8313 90.00 90.00 90.36
With the nearest neighbours (Å) after each atom.
Atoms (fractional coordinates):
1 Be 0.0000 0.0000 0.0000  4 Cu 2.21-2.22
2 Cu 0.0000 0.0000 0.3504  8 Cu 2.58-2.76, 1 Be 2.74, 4 Se 2.79-2.80
3 Cu 0.5000 0.5000 0.1346  4 Be 2.21-2.22
4 Se 0.5000 0.5000 0.6063  4 Se 2.76, 4 Cu 2.79-2.80

Results
The value obtained for the excess energy over the best structure of this formula in the dataset is 19.2 kJ/mol of atoms. The density of states at the Fermi level comes out at 0.976 states/eV/f.u. As for the size of the total moment: 0.0 μB/cell. The calculation puts the final energy at -3.58 eV/atom. Its crystal system is orthorhombic. The formation energy without anion corrections comes out at 1.10 eV per formula unit. Its space group is No. 35.